Model one:
A plane-wave DFT calculation with PBE was carried out for BeSF2 after structural relaxation.

POSCAR file:
```
BeSF2
1.0
-4.893 -1.438 -0.686
-3.447 0.731 3.750
-3.676 3.560 -0.542
F S Be
4 2 2
direct
0.125 0.125 0.125
0.625 0.125 0.125
0.125 0.625 0.125
0.125 0.125 0.625
0.500 0.500 0.500
0.750 0.750 0.750
0.250 0.250 0.250
0.000 0.000 0.000
```

Results
- space-group type = Fd-3m (227)

***

Model two:
A plane-wave DFT calculation with PBE was carried out for BeSF2 after structural relaxation.

POSCAR file:
```
BeSF2
1.0
0.000 2.890 2.890
2.890 0.000 2.890
2.890 2.890 0.000
F Be S
2 1 1
direct
0.250 0.250 0.250
0.750 0.750 0.750
0.000 0.000 0.000
0.500 0.500 0.500
```

Results
- space-group type = Fm-3m (225)

***

Most stable to least stable, the ends of the list are model one and model two.

***

Model one:
A plane-wave DFT calculation with PBE was carried out for BeS2F2 after structural relaxation.

POSCAR file:
```
BeS2F2
1.0
-1.610 0.385 -2.924
1.116 -3.004 -1.010
-4.767 -3.719 0.205
Be F S
1 2 2
direct
0.000 0.000 0.000
0.250 0.750 0.500
0.750 0.250 0.500
0.402 0.402 0.196
0.598 0.598 0.804
```

Results
- space-group type = I4/mmm (139)

***

Model two:
A plane-wave DFT calculation with PBE was carried out for BeS2F2 after structural relaxation.

POSCAR file:
```
BeS2F2
1.0
-3.511 -0.382 -4.381
3.924 -2.801 -2.901
-1.435 -3.518 1.456
F S Be
4 4 2
direct
0.247 0.747 0.500
0.253 0.247 0.500
0.753 0.253 0.500
0.747 0.753 0.500
0.120 0.380 0.000
0.880 0.620 0.000
0.380 0.880 0.000
0.620 0.120 0.000
0.500 0.500 0.000
0.000 0.000 0.000
```

Results
- space-group type = P4/mbm (127)

***

Most stable to least stable, the ends of the list are model two and model one.

***

Model one:
A plane-wave DFT calculation with PBE was carried out for BeS3F after structural relaxation.

POSCAR file:
```
BeS3F
1.0
4.324 0.000 0.000
0.000 4.324 0.000
0.000 0.000 4.324
S Be F
3 1 1
direct
0.000 0.000 0.500
0.500 0.000 0.000
0.000 0.500 0.000
0.500 0.500 0.500
0.000 0.000 0.000
```

Results
- space-group type = Pm-3m (221)

***

Model two:
A plane-wave DFT calculation with PBE was carried out for BeS3F after structural relaxation.

POSCAR file:
```
BeS3F
1.0
4.172 0.000 0.000
0.000 4.172 0.000
0.000 0.000 4.172
S F Be
3 1 1
direct
0.500 0.000 0.000
0.000 0.000 0.500
0.000 0.500 0.000
0.500 0.500 0.500
0.000 0.000 0.000
```

Results
- space-group type = Pm-3m (221)

***

Most stable to least stable, the ends of the list are model two and model one.